(1)
DFT (PBE) results for a relaxed structure of PmYSe3.

Cell: 4.110 7.108 9.087 Å, 90.00 90.00 90.00°
Sites, in units of the cell vectors:
Se  0.000  0.772  0.334
Se  0.500  0.500  0.068
Se  0.000  0.000  0.932
Se  0.500  0.272  0.666
Se  0.000  0.228  0.334
Se  0.500  0.728  0.666
Pm  0.000  0.500  0.848
Pm  0.500  0.000  0.152
Y  0.500  0.500  0.396
Y  0.000  0.000  0.604

Summary:
Formation energy from raw total energies (meV/atom): -1839
DOS(E_F) (states/eV per cell): 0.02


(2)
DFT (PBE) results for a relaxed structure of CuTcP2O.

Cell: 4.572 4.572 3.512 Å, 90.00 90.00 90.00°
Last column: magnetic moment on the atom in μB.
Sites, in units of the cell vectors:
Cu  0.000  0.000  0.000  0.00
O  0.000  0.000  0.500  0.05
P  0.000  0.500  0.000  -0.08
P  0.500  0.000  0.000  -0.08
Tc  0.500  0.500  0.500  2.30

Summary:
Formation energy from raw total energies (meV/atom): 717
DOS(E_F) (states/eV per cell): 4.07


(3)
DFT (PBE) results for a relaxed structure of Ho5Te2Os2.

Cell: 7.724 7.668 8.801 Å, 90.00 63.97 90.00°
Sites, in units of the cell vectors:
Te  0.212  0.000  0.575
Te  0.788  0.000  0.425
Te  0.288  0.500  0.425
Te  0.712  0.500  0.575
Ho  0.707  0.328  0.237
Ho  0.207  0.172  0.237
Ho  0.500  0.500  0.000
Ho  0.000  0.000  0.000
Ho  0.556  0.828  0.237
Ho  0.293  0.672  0.763
Ho  0.444  0.172  0.763
Ho  0.056  0.672  0.237
Ho  0.793  0.828  0.763
Ho  0.944  0.328  0.763
Os  0.118  0.385  0.000
Os  0.882  0.615  0.000
Os  0.382  0.885  0.000
Os  0.618  0.115  0.000

Summary:
Formation energy from raw total energies (meV/atom): -761
DOS(E_F) (states/eV per cell): 7.39


(4)
DFT (PBE) results for a relaxed structure of Hf2MgAlH.

Cell: 4.275 4.275 4.455 Å, 90.00 90.00 90.00°
Sites, in units of the cell vectors:
H  0.000  0.000  0.000
Mg  0.000  0.000  0.500
Al  0.500  0.500  0.500
Hf  0.000  0.500  0.000
Hf  0.500  0.000  0.000

Summary:
Raw total energy (eV per atom): -5.89
DOS(E_F) (states/eV per cell): 3.42


(5)
DFT (PBE) results for a relaxed structure of LuPu2Sn.

Cell: 5.063 4.527 4.527 Å, 90.00 90.00 90.00°
Last column: magnetic moment on the atom in μB.
Sites, in units of the cell vectors:
Lu  0.500  0.500  0.500  0.31
Pu  0.000  0.500  0.000  5.65
Pu  0.000  0.000  0.500  5.65
Sn  0.500  0.000  0.000  -0.11

Summary:
DOS(E_F) (states/eV per cell): 10.58
Formation enthalpy at 0 K (eV per formula unit): -1.19


(6)
DFT (PBE) results for a relaxed structure of Tb15Sm4Y.

Cell: 5.059 5.059 25.281 Å, 90.00 90.00 90.00°
Sites, in units of the cell vectors:
Tb  0.000  0.500  0.300
Tb  0.500  0.000  0.100
Tb  0.500  0.500  0.000
Tb  0.500  0.000  0.700
Tb  0.000  0.500  0.700
Tb  0.500  0.500  0.600
Tb  0.000  0.500  0.500
Tb  0.500  0.000  0.500
Tb  0.500  0.000  0.900
Tb  0.500  0.500  0.200
Tb  0.500  0.000  0.300
Tb  0.500  0.500  0.800
Tb  0.500  0.500  0.400
Tb  0.000  0.500  0.900
Tb  0.000  0.500  0.100
Sm  0.000  0.000  0.800
Sm  0.000  0.000  0.400
Sm  0.000  0.000  0.200
Sm  0.000  0.000  0.600
Y  0.000  0.000  0.000

Summary:
DOS(E_F) (states/eV per cell): 27.26
Formation enthalpy at 0 K (eV per formula unit): 0.33